# SrZr2Tc (GGA-PBEsol, optimized geometry)
data_SrZr2Tc
_chemical_formula_sum 'Sr2 Zr4 Tc2'
_cell_length_a 3.421
_cell_length_b 4.831
_cell_length_c 11.281
_cell_angle_alpha 90.00
_cell_angle_beta 90.00
_cell_angle_gamma 90.00
_space_group_name_H-M_alt 'I m m 2'
_space_group_IT_number 44
_space_group_name_Hall 'I 2 -2'
loop_
_atom_site_label
_atom_site_fract_x
_atom_site_fract_y
_atom_site_fract_z
Sr1 0.000 0.000 0.000
Zr1 0.000 0.000 0.396
Zr2 0.000 0.500 0.213
Tc1 0.000 0.500 0.731
# Total energy = -7.488 eV per atom
# Relative energy among the computed polymorphs = 19.0 meV/atom
# Formation enthalpy at 0 K = 334 meV/atom
# Density = 6.6 g/cm³